Computed, not measured: a relaxed CaSi2Te crystal at the PBE-GGA level of DFT.

a b c (Å): 3.9894 4.4317 11.8513
angles (deg): 90.00 90.00 90.00
Space group Amm2 (No. 38)
Symmetry-distinct sites (fractional):
Ca  0.0000  0.0000  0.0000 x2
Si  0.0000  0.0000  0.2668 x2
Si  0.5000  0.0000  0.3727 x2
Te  0.5000  0.0000  0.5908 x2

## Properties
Uncorrected energy ... -33.97 eV/cell
Energy above the most stable polymorph in this dataset ... 0.00 eV per formula unit

***

Computed, not measured: a relaxed CaSi2Te crystal at the PBE-GGA level of DFT.

a b c (Å): 10.2115 3.9232 5.5729
angles (deg): 90.00 114.58 90.00
Space group Cm (No. 8)
Symmetry-distinct sites (fractional):
Ca  0.0000  0.0000  0.0000 x2
Si  0.2409  0.5000  0.3083 x2
Si  0.3674  0.0000  0.2672 x2
Te  0.2287  0.0000  0.7338 x2

## Properties
Uncorrected energy ... -33.24 eV/cell
Energy above the most stable polymorph in this dataset ... 0.37 eV per formula unit

***

Computed, not measured: a relaxed CaSiTe2 crystal at the PBE-GGA level of DFT.

a b c (Å): 4.7170 4.7170 25.3439
angles (deg): 90.00 90.00 120.00
Space group R-3m (No. 166, hexagonal axes)
Symmetry-distinct sites (fractional):
Ca  0.0000  0.0000  0.0000 x3
Si  0.0000  0.0000  0.5000 x3
Te  0.0000  0.0000  0.3970 x6

## Properties
Uncorrected energy ... -42.76 eV/cell
Energy above the most stable polymorph in this dataset ... 2.13 eV per formula unit